[1]
A relaxed structure of NaNdLu, computed with PBE.

## Properties
As for the total energy: -2.746 eV/atom. As for the density: 5.357 g cm⁻³. The offset from the most stable computed form is 0.000 eV/atom.

Lattice parameters (Å, degrees): 5.314 5.314 5.314 60.00 60.00 60.00
Sites, in units of the cell vectors:
1 Na 0.000 0.000 0.000
2 Nd 0.250 0.250 0.250
3 Lu 0.750 0.750 0.750

***

[2]
A relaxed structure of NaPmOs, computed with PBE.

## Properties
As for the total energy: -5.021 eV/atom. As for the density: 7.930 g cm⁻³. The offset from the most stable computed form is 0.000 eV/atom.

Lattice parameters (Å, degrees): 4.734 4.734 4.734 60.00 60.00 60.00
Sites, in units of the cell vectors:
1 Na 0.000 0.000 0.000
2 Pm 0.500 0.500 0.500
3 Os 0.250 0.250 0.250

***

[3]
A relaxed structure of TmGaNi, computed with PBE.

## Properties
As for the total energy: -4.155 eV/atom. As for the density: 7.567 g cm⁻³.

Lattice parameters (Å, degrees): 4.519 4.519 4.519 60.00 60.00 60.00
Sites, in units of the cell vectors:
1 Tm 0.000 0.000 0.000
2 Ga 0.750 0.750 0.750
3 Ni 0.250 0.250 0.250

***

[4]
A relaxed structure of DyHoLu2In2, computed with PBE.

## Properties
As for the total energy: -4.293 eV/atom. As for the density: 9.236 g cm⁻³.

Lattice parameters (Å, degrees): 5.319 5.319 6.654 90.00 90.00 120.00
Sites, in units of the cell vectors:
1 Dy 0.000 0.000 0.000
2 Ho 0.667 0.333 0.500
3 Lu 0.333 0.667 0.251
4 Lu 0.333 0.667 0.749
5 In 0.000 0.000 0.500
6 In 0.667 0.333 0.000

***

[5]
A relaxed structure of CuAsIrW, computed with PBE.

## Properties
As for the total energy: -7.309 eV/atom. As for the density: 14.253 g cm⁻³. The offset from the most stable computed form is 0.000 eV/atom.

Lattice parameters (Å, degrees): 4.393 4.393 4.393 60.00 60.00 60.00
Sites, in units of the cell vectors:
1 Cu 0.000 0.000 0.000
2 As 0.750 0.750 0.750
3 Ir 0.250 0.250 0.250
4 W 0.500 0.500 0.500

***

[6]
A relaxed structure of LaNdAg2Bi2As2, computed with PBE.

## Properties
As for the total energy: -4.774 eV/atom. As for the density: 8.769 g cm⁻³.

Lattice parameters (Å, degrees): 4.352 4.352 10.666 90.00 90.00 90.00
Sites, in units of the cell vectors:
1 La 0.000 0.000 0.000
2 Nd 0.500 0.500 0.513
3 Ag 0.000 0.500 0.754
4 Ag 0.500 0.000 0.754
5 Bi 0.000 0.500 0.260
6 Bi 0.500 0.000 0.260
7 As 0.000 0.000 0.586
8 As 0.500 0.500 0.924

***

[7]
A relaxed structure of HoSi2IrOs, computed with PBE.

## Properties
As for the total energy: -8.030 eV/atom. As for the density: 12.047 g cm⁻³.

Lattice parameters (Å, degrees): 5.673 5.673 5.673 137.23 137.23 62.09
Sites, in units of the cell vectors:
1 Ho 0.000 0.000 0.000
2 Si 0.375 0.375 0.000
3 Si 0.625 0.625 0.000
4 Ir 0.250 0.750 0.500
5 Os 0.750 0.250 0.500

***

[8]
A relaxed structure of TmPuFe, computed with PBE.

## Properties
As for the total energy: -8.739 eV/atom. As for the density: 12.576 g cm⁻³. The offset from the most stable computed form is 0.000 eV/atom. The calculation puts the formation energy at 231 meV per atom.

Lattice parameters (Å, degrees): 4.440 4.440 4.440 60.00 60.00 60.00
Sites, in units of the cell vectors:
1 Tm 0.000 0.000 0.000
2 Pu 0.500 0.500 0.500
3 Fe 0.750 0.750 0.750

***

[9]
A relaxed structure of BaGdPO, computed with PBE.

## Properties
As for the total energy: -5.753 eV/atom. As for the density: 4.905 g cm⁻³. The offset from the most stable computed form is 0.504 eV/atom.

Lattice parameters (Å, degrees): 5.015 5.015 9.194 90.00 90.00 90.00
Sites, in units of the cell vectors:
1 Ba 0.250 0.250 0.091
2 Ba 0.750 0.750 0.909
3 Gd 0.250 0.750 0.500
4 Gd 0.750 0.250 0.500
5 P 0.250 0.250 0.619
6 P 0.750 0.750 0.381
7 O 0.250 0.750 0.000
8 O 0.750 0.250 0.000

***

[10]
A relaxed structure of LuInCoTc, computed with PBE.

## Properties
As for the total energy: -5.918 eV/atom. As for the density: 10.333 g cm⁻³. The offset from the most stable computed form is 0.189 eV/atom.

Lattice parameters (Å, degrees): 4.665 4.665 4.665 60.00 60.00 60.00
Sites, in units of the cell vectors:
1 Lu 0.000 0.000 0.000
2 In 0.250 0.250 0.250
3 Co 0.500 0.500 0.500
4 Tc 0.750 0.750 0.750

***

[11]
A relaxed structure of Sm2Lu2O5, computed with PBE.

## Properties
As for the total energy: -7.650 eV/atom. As for the density: 9.019 g cm⁻³. The offset from the most stable computed form is 0.000 eV/atom.

Lattice parameters (Å, degrees): 4.209 4.209 7.594 90.00 90.00 90.00
Sites, in units of the cell vectors:
1 Sm 0.000 0.000 0.000
2 Sm 0.000 0.000 0.500
3 Lu 0.500 0.500 0.230
4 Lu 0.500 0.500 0.770
5 O 0.000 0.500 0.240
6 O 0.000 0.500 0.760
7 O 0.500 0.000 0.240
8 O 0.500 0.000 0.760
9 O 0.500 0.500 0.500